VASP calculation (PBE-GGA) on a geometry-optimized CaAs2AuSe structure.

The structure in POSCAR format:
```
CaAs2AuSe
1.0
-2.132 -1.553 4.264
-3.070 -2.975 -2.619
3.550 -3.957 0.334
As Au Ca Se
2 1 1 1
Cartesian
-1.535 -1.488 -1.309
-1.066 -0.776 2.132
0.000 0.000 0.000
-0.826 -4.242 0.989
1.775 -1.978 0.167
```

Computed properties:
The calculation puts the density of states at the Fermi level at 4.9 states/eV/cell. For the total magnetization, the calculation gives 0.000 μB per atom. For the uncorrected formation energy, the calculation gives 0.030 eV/atom. Its space-group type is No. 123. For the energy above the lowest structure with this stoichiometry, the calculation gives 0 meV per atom.

=====

VASP calculation (PBE-GGA) on a geometry-optimized Pm2YHgC structure.

The structure in POSCAR format:
```
Pm2YHgC
1.0
-0.912 -0.139 -4.769
1.715 -4.798 -0.188
-4.705 -1.719 0.950
Pm Y Hg C
2 1 1 1
Cartesian
-2.353 -0.859 0.475
0.857 -2.399 -0.094
-0.456 -0.070 -2.384
-1.951 -3.328 -2.003
0.000 0.000 0.000
```

Computed properties:
The calculation puts the density of states at the Fermi level at 5.6 states/eV/cell. For the total magnetization, the calculation gives 0.000 μB per atom. Its space-group type is No. 123. For the energy of formation from the pure elements, the calculation gives -0.2914 eV/atom.

=====

VASP calculation (PBE-GGA) on a geometry-optimized Dy3Y12Tm structure.

The structure in POSCAR format:
```
Dy3Y12Tm
1.0
5.036 0.000 0.000
0.000 5.036 0.000
0.000 0.000 20.144
Dy Y Tm
3 12 1
Cartesian
0.000 0.000 5.030
0.000 0.000 10.072
0.000 0.000 15.114
2.518 2.518 0.000
2.518 2.518 5.025
2.518 2.518 10.072
2.518 2.518 15.118
2.518 0.000 2.507
2.518 0.000 7.550
2.518 0.000 12.594
2.518 0.000 17.637
0.000 2.518 2.507
0.000 2.518 7.550
0.000 2.518 12.594
0.000 2.518 17.637
0.000 0.000 0.000
```

Computed properties:
The calculation puts the density of states at the Fermi level at 22.2 states/eV/cell. For the total magnetization, the calculation gives 0.000 μB per atom. Its space-group type is No. 123. For the energy of formation from the pure elements, the calculation gives 0.0241 eV/atom.

=====

VASP calculation (PBE-GGA) on a geometry-optimized Tb7NdDy3 structure.

The structure in POSCAR format:
```
Tb7NdDy3
1.0
4.715 -0.089 -2.953
-1.079 9.641 -2.015
-1.043 -0.710 8.830
Tb Nd Dy
7 1 3
Cartesian
2.487 7.278 3.741
2.890 6.519 -0.829
2.615 3.263 -1.167
-0.022 5.579 5.029
1.836 -0.400 2.938
-0.298 2.323 4.691
0.105 1.564 0.121
1.296 4.421 1.931
-0.578 9.043 4.040
-0.540 4.821 -1.007
3.170 -0.201 -0.178
```

Computed properties:
The calculation puts the density of states at the Fermi level at 16.2 states/eV/cell. For the total magnetization, the calculation gives 0.000 μB per atom. Its space-group type is No. 10. For the energy of formation from the pure elements, the calculation gives 0.1379 eV/atom. For the energy above the lowest structure with this stoichiometry, the calculation gives 0 meV per atom.

=====

VASP calculation (PBE-GGA) on a geometry-optimized ZnCuIO2 structure.

The structure in POSCAR format:
```
ZnCuIO2
1.0
-0.959 -1.362 -3.383
-1.870 -2.819 1.665
-5.632 3.781 0.075
I Zn O Cu
1 1 2 1
Cartesian
-2.816 1.890 0.037
0.000 0.000 0.000
-0.935 -1.410 0.833
-0.480 -0.681 -1.691
-4.231 -0.200 -0.821
```

Computed properties:
The calculation puts the density of states at the Fermi level at 5.7 states/eV/cell. For the total magnetization, the calculation gives 0.000 μB per atom. For the uncorrected formation energy, the calculation gives 0.058 eV/atom. Its space-group type is No. 123. For the energy above the lowest structure with this stoichiometry, the calculation gives 0 meV per atom.

=====

VASP calculation (PBE-GGA) on a geometry-optimized CuPdW structure.

The structure in POSCAR format:
```
CuPdW
1.0
2.753 0.000 0.000
0.000 2.753 0.000
-1.377 -1.377 5.711
Cu Pd W
1 1 1
Cartesian
0.000 0.000 3.809
1.377 1.377 1.945
1.377 1.377 5.668
```

Computed properties:
The calculation puts the density of states at the Fermi level at 2.4 states/eV/cell. For the total magnetization, the calculation gives 0.000 μB per atom. Its space-group type is No. 107. For the energy of formation from the pure elements, the calculation gives 0.0971 eV/atom. For the energy above the lowest structure with this stoichiometry, the calculation gives 0 meV per atom.